(1)
A relaxed La4Zn3Rh crystal. Source: Alexandria via LeMat-Bulk, functional PBE.

abc: 3.7293 3.7293 14.8104
angles: 90.00 90.00 90.00
With the nearest neighbours (Å) after each atom.
Space group P4/mmm (No. 123)
One atom of each set of equivalent atoms:
La1 0.0000 0.0000 0.1125 (multiplicity 2)  4 Rh 3.12, 4 Zn 3.31, 1 La 3.33
La2 0.0000 0.0000 0.3732 (multiplicity 2)  8 Zn 3.23-3.24
Zn1 0.5000 0.5000 0.2472 (multiplicity 2)  8 La 3.23-3.31
Zn2 0.5000 0.5000 0.5000 (multiplicity 1)  8 La 3.24
Rh1 0.5000 0.5000 0.0000 (multiplicity 1)  8 La 3.12

Output
**Energy**: -4.263 eV per atom
**Size of the total moment**: 0.00 Bohr magnetons per cell
**Crystal system**: tetragonal

***

(2)
A relaxed YAg2TeSe4 crystal. Source: Alexandria via LeMat-Bulk, functional PBE.

abc: 11.8656 11.3310 8.1764
angles: 90.00 133.33 90.00
With the nearest neighbours (Å) after each atom.
Space group C2/c (No. 15)
One atom of each set of equivalent atoms:
Y1 0.0000 0.0000 0.0000 (multiplicity 4)  6 Se 2.89-2.93
Ag1 0.0000 0.5000 0.0000 (multiplicity 4)  6 Se 2.78-3.06
Ag2 0.2500 0.2500 0.0000 (multiplicity 4)  4 Se 2.70-2.82
Te1 0.2500 0.2500 0.5000 (multiplicity 4)  4 Se 2.80-2.85
Se1 0.0368 0.2566 0.5464 (multiplicity 8)  2 Ag 2.70-2.78, 1 Te 2.80, 1 Y 2.93
Se2 0.2376 0.0010 0.9876 (multiplicity 8)  3 Ag 2.82-3.06, 1 Te 2.85, 2 Y 2.89-2.90

Output
**Energy**: -4.211 eV per atom
**E_form (uncorrected)**: -4.4 eV/f.u.
**Size of the total moment**: 0.00 Bohr magnetons per cell
**Crystal system**: monoclinic

***

(3)
A relaxed CsTcRh3 crystal. Source: Alexandria via LeMat-Bulk, functional PBE.

abc: 4.8377 4.8377 4.8377
angles: 90.00 90.00 90.00
With the nearest neighbours (Å) after each atom.
Space group Pm-3m (No. 221)
One atom of each set of equivalent atoms:
Cs1 0.0000 0.0000 0.0000 (multiplicity 1)  12 Rh 3.42
Tc1 0.5000 0.5000 0.5000 (multiplicity 1)  6 Rh 2.42
Rh1 0.0000 0.5000 0.5000 (multiplicity 3)  2 Tc 2.42

Output
**Energy**: -5.658 eV per atom
**Energy above the lowest structure with this stoichiometry**: 0.0 meV/atom
**Size of the total moment**: 0.00 Bohr magnetons per cell
**Crystal system**: cubic

***

(4)
A relaxed NdHoCd crystal. Source: Alexandria via LeMat-Bulk, functional PBE.

abc: 3.6660 3.6660 13.1077
angles: 90.00 90.00 90.00
With the nearest neighbours (Å) after each atom.
Space group I4mm (No. 107)
One atom of each set of equivalent atoms:
Nd1 0.0000 0.0000 0.0000 (multiplicity 2)  4 Cd 3.38, 4 Ho 3.58, 4 Nd 3.67
Ho1 0.0000 0.0000 0.3120 (multiplicity 2)  4 Cd 3.22, 4 Nd 3.58
Cd1 0.0000 0.0000 0.6657 (multiplicity 2)  4 Ho 3.22, 4 Nd 3.38

Output
**Energy**: -3.614 eV per atom
**Energy above the lowest structure with this stoichiometry**: 22.1 meV/atom
**Size of the total moment**: 1.16 Bohr magnetons per cell
**Crystal system**: tetragonal